i.
# Mg2CuRe | Alexandria | GGA-PBE | relaxed
data_Mg2CuRe
_symmetry_space_group_name_H-M 'P 1'
_symmetry_Int_Tables_number 1
_symmetry_space_group_name_Hall 'P 1'
_cell_length_a 5.053
_cell_length_b 5.053
_cell_length_c 4.950
_cell_angle_alpha 102.02
_cell_angle_beta 102.02
_cell_angle_gamma 31.31
loop_
_atom_site_label
_atom_site_type_symbol
_atom_site_fract_x
_atom_site_fract_y
_atom_site_fract_z
_atom_site_occupancy
Mg1 Mg 0.000 0.000 0.000 1
Mg2 Mg 0.229 0.229 0.710 1
Cu1 Cu 0.742 0.742 0.249 1
Re1 Re 0.473 0.473 0.482 1
# symmetry	No. 8

ii.
# Mg2CuRe | Alexandria | GGA-PBE | relaxed
data_Mg2CuRe
_symmetry_space_group_name_H-M 'P 1'
_symmetry_Int_Tables_number 1
_symmetry_space_group_name_Hall 'P 1'
_cell_length_a 2.721
_cell_length_b 4.104
_cell_length_c 5.669
_cell_angle_alpha 90.00
_cell_angle_beta 90.70
_cell_angle_gamma 90.00
loop_
_atom_site_label
_atom_site_type_symbol
_atom_site_fract_x
_atom_site_fract_y
_atom_site_fract_z
_atom_site_occupancy
Mg1 Mg 0.004 0.000 0.249 1
Mg2 Mg 0.996 0.000 0.751 1
Cu1 Cu 0.500 0.500 0.500 1
Re1 Re 0.500 0.500 0.000 1
# symmetry	No. 10

Relative energies, unit eV/atom: i 0.000; ii 0.022